1.
# CuAg

An optimized crystal structure of CuAg (PBE-GGA, OQMD).

abc: 4.7729 2.8171 11.2174
angles: 90.00 96.15 90.00
Fractional positions:
Cu: 0.0000 0.0000 0.0000
Cu: 0.0860 0.5000 0.8185
Cu: 0.3716 0.0000 0.1910
Cu: 0.4587 0.5000 0.0087
Cu: 0.6810 0.5000 0.6149
Ag: 0.1772 0.0000 0.6176
Ag: 0.2784 0.5000 0.3971
Ag: 0.5922 0.0000 0.8166
Ag: 0.7755 0.0000 0.4104
Ag: 0.8693 0.5000 0.1904

Computed properties:
As for the energy: -3.17 eV/atom. As for the space-group type: Pm, No. 6.

2.
# Cu3Ag2

An optimized crystal structure of Cu3Ag2 (PBE-GGA, OQMD).

abc: 4.6678 4.6678 8.6381
angles: 90.66 90.66 49.25
Fractional positions:
Cu: 0.0000 0.0000 0.0000
Cu: 0.1054 0.1054 0.2885
Cu: 0.2941 0.2941 0.9062
Cu: 0.5000 0.5000 0.5000
Cu: 0.7059 0.7059 0.0938
Cu: 0.8946 0.8946 0.7114
Ag: 0.1968 0.1968 0.6020
Ag: 0.4099 0.4099 0.1915
Ag: 0.5901 0.5901 0.8085
Ag: 0.8032 0.8032 0.3980

Computed properties:
As for the energy: -3.26 eV/atom. As for the space-group type: C2/m, No. 12.